Below is NaLi2FePCO7 after structural relaxation, with properties calculated at the GGA+U level.

- DFT total energy (eV/atom) = -6.6086
- density of states at the Fermi level (states/eV/f.u.) = 0.0

a = 5.126 Å, b = 6.591 Å, c = 8.617 Å
α = 90.00°, β = 96.13°, γ = 90.00°
Space group P2_1 (No. 4)
Inequivalent atoms, fractional coordinates:
Na 0.227 0.000 0.268 (multiplicity 2)
Li 0.224 0.529 0.276 (multiplicity 2)
Li 0.298 0.254 0.898 (multiplicity 2)
Fe 0.287 0.772 0.664 (multiplicity 2)
P 0.232 0.265 0.591 (multiplicity 2)
C 0.172 0.763 0.956 (multiplicity 2)
O 0.001 0.787 0.833 (multiplicity 2)
O 0.072 0.737 0.437 (multiplicity 2)
O 0.092 0.740 0.093 (multiplicity 2)
O 0.298 0.454 0.698 (multiplicity 2)
O 0.346 0.281 0.434 (multiplicity 2)
O 0.355 0.085 0.693 (multiplicity 2)
O 0.418 0.761 0.935 (multiplicity 2)